# 1
Below is crystalline TlSbSe2 at its relaxed geometry, with properties calculated at the GGA-PBE level.

Properties
Formation energy (no corrections) (meV per atom): -301
Symmetry: Amm2

Structure (extended XYZ):
```
8
Lattice="4.112 0.000 0.000 0.000 4.139 0.000 0.000 0.000 14.769" Properties=species:S:1:pos:R:3 pbc="T T T"
Tl 0.000 0.000 0.000
Tl 0.000 2.070 7.385
Sb 2.056 0.000 3.626
Sb 2.056 2.070 11.011
Se 0.000 0.000 10.489
Se 0.000 2.070 3.104
Se 2.056 0.000 6.154
Se 2.056 2.070 13.538
```



# 2
Below is crystalline SiSbRu2 at its relaxed geometry, with properties calculated at the GGA-PBE level.

Properties
Formation energy (no corrections) (meV per atom): 165
Symmetry: I-4m2

Structure (extended XYZ):
```
8
Lattice="3.696 0.000 0.000 0.000 3.696 0.000 0.000 0.000 9.144" Properties=species:S:1:pos:R:3 pbc="T T T"
Si 0.000 0.000 0.000
Si 1.848 1.848 4.572
Sb 0.000 1.848 2.286
Sb 1.848 0.000 6.858
Ru 0.000 0.000 4.572
Ru 0.000 1.848 6.858
Ru 1.848 0.000 2.286
Ru 1.848 1.848 0.000
```



# 3
Below is crystalline PmY6Ho3 at its relaxed geometry, with properties calculated at the GGA-PBE level.

Properties
Energy of formation (eV/atom): 0.14
Symmetry: Cmc2_1

Structure (extended XYZ):
```
20
Lattice="5.503 -9.479 0.000 5.503 9.479 0.000 0.000 0.000 6.256" Properties=species:S:1:pos:R:3 pbc="T T T"
Pm 5.503 5.574 3.128
Pm 5.503 -5.574 0.000
Y 2.770 3.959 1.845
Y 5.503 8.583 4.699
Y 5.503 4.128 0.035
Y 3.693 0.856 0.760
Y 3.693 -0.856 3.888
Y 2.770 -3.959 4.973
Y 8.236 3.959 1.845
Y 7.313 0.856 0.760
Y 7.313 -0.856 3.888
Y 5.503 -4.128 3.162
Y 5.503 -8.583 1.571
Y 8.236 -3.959 4.973
Ho 1.906 2.077 4.399
Ho 1.906 -2.077 1.272
Ho 5.503 2.099 3.644
Ho 5.503 -2.099 0.516
Ho 9.100 2.077 4.399
Ho 9.100 -2.077 1.272
```



# 4
Below is crystalline Pr12Er7Pu at its relaxed geometry, with properties calculated at the GGA-PBE level.

Properties
Energy of formation (eV/atom): 0.22
Symmetry: R-3m

Structure (extended XYZ):
```
20
Lattice="9.810 5.664 2.084 -9.810 5.664 2.084 0.000 -11.328 2.084" Properties=species:S:1:pos:R:3 pbc="T T T"
Pr -4.044 -4.324 2.084
Pr -5.766 -1.340 2.084
Pr 0.000 -3.993 1.156
Pr -3.458 1.997 1.156
Pr 4.044 -4.324 2.084
Pr -1.722 5.664 2.084
Pr 3.458 1.997 1.156
Pr -3.458 -1.997 5.095
Pr 5.766 -1.340 2.084
Pr 1.722 5.664 2.084
Pr 3.458 -1.997 5.095
Pr 0.000 3.993 5.095
Er 0.000 0.000 0.000
Er -2.351 -1.358 1.922
Er 2.351 -1.358 1.922
Er 0.000 2.715 1.922
Er 0.000 -2.715 4.329
Er -2.351 1.358 4.329
Er 2.351 1.358 4.329
Pu 0.000 0.000 3.126
```



# 5
Below is crystalline NiOs2 at its relaxed geometry, with properties calculated at the GGA-PBE level.

Properties
Energy of formation (eV/atom): 0.21
Symmetry: I4_1/amd

Structure (extended XYZ):
```
12
Lattice="-1.883 1.883 11.311 1.883 -1.883 11.311 1.883 1.883 -11.311" Properties=species:S:1:pos:R:3 pbc="T T T"
Ni 1.883 0.941 1.015
Ni 1.883 0.941 4.640
Ni 0.000 0.941 6.670
Ni 0.000 0.941 10.296
Os 1.883 -0.941 6.566
Os 1.883 0.941 -2.768
Os 1.883 -0.941 10.400
Os 0.000 0.941 2.887
Os 1.883 0.941 8.424
Os 0.000 2.824 0.911
Os 0.000 0.941 14.079
Os 0.000 2.824 4.745
```



# 6
Below is crystalline NaAcEuIr at its relaxed geometry, with properties calculated at the GGA-PBE level.

Properties
Energy of formation (eV/atom): -0.13
Symmetry: F-43m

Structure (extended XYZ):
```
16
Lattice="7.559 0.000 0.000 0.000 7.559 0.000 0.000 0.000 7.559" Properties=species:S:1:pos:R:3 pbc="T T T"
Na 0.000 0.000 0.000
Na 0.000 3.780 3.780
Na 3.780 0.000 3.780
Na 3.780 3.780 0.000
Ac 1.890 1.890 1.890
Ac 1.890 5.669 5.669
Ac 5.669 1.890 5.669
Ac 5.669 5.669 1.890
Eu 1.890 1.890 5.669
Eu 1.890 5.669 1.890
Eu 5.669 1.890 1.890
Eu 5.669 5.669 5.669
Ir 0.000 0.000 3.780
Ir 0.000 3.780 0.000
Ir 3.780 0.000 0.000
Ir 3.780 3.780 3.780
```



# 7
Below is crystalline SiMo3S at its relaxed geometry, with properties calculated at the GGA-PBE level.

Properties
Formation energy (no corrections) (meV per atom): 584
Symmetry: Pm-3m

Structure (extended XYZ):
```
5
Lattice="4.389 0.000 0.000 0.000 4.389 0.000 0.000 0.000 4.389" Properties=species:S:1:pos:R:3 pbc="T T T"
Si 0.000 0.000 0.000
Mo 0.000 2.194 2.194
Mo 2.194 0.000 2.194
Mo 2.194 2.194 0.000
S 2.194 2.194 2.194
```



# 8
Below is crystalline Pm2Er3Pb2 at its relaxed geometry, with properties calculated at the GGA-PBE level.

Properties
Energy of formation (eV/atom): -0.32
Symmetry: C2/m

Structure (extended XYZ):
```
14
Lattice="12.218 0.000 0.000 0.000 4.476 0.000 -3.063 0.000 8.056" Properties=species:S:1:pos:R:3 pbc="T T T"
Pm 0.750 0.000 2.316
Pm 2.296 2.238 5.740
Pm 6.859 2.238 2.316
Pm 8.405 0.000 5.740
Er -1.531 2.238 4.028
Er -1.392 2.238 7.567
Er 4.438 0.000 0.489
Er 4.578 0.000 4.028
Er 4.717 0.000 7.567
Er 10.547 2.238 0.489
Pb -0.070 0.000 5.666
Pb 3.116 2.238 2.391
Pb 6.039 2.238 5.666
Pb 9.225 0.000 2.391
```



no.,total magnetization (μB/atom)
1,0.000
2,0.000
3,0.001
4,0.290
5,0.000
6,1.795
7,0.000
8,0.001